1.
Material: AcSb3Pt
Method: DFT, GGA-PBE
State: optimized geometry

abc: 5.3405 5.3405 5.3405
angles: 90.00 90.00 90.00
Element x y z (fractional)
Ac1 0.0000 0.0000 0.0000
Sb1 0.0000 0.5000 0.5000
Sb2 0.5000 0.0000 0.5000
Sb3 0.5000 0.5000 0.0000
Pt1 0.5000 0.5000 0.5000

## Properties
E ... -4.815 eV/atom
M_tot ... 0.00 μB per formula unit
Fermi-level density of states ... 0.796 states/eV/atom
Distance to the lowest polymorph of the same formula ... 29.3 kJ/mol of atoms



2.
Material: Gd2YPd
Method: DFT, GGA-PBE
State: optimized geometry

abc: 3.6220 3.6220 8.4354
angles: 90.00 90.00 90.00
Element x y z (fractional)
Gd1 0.0000 0.0000 0.1994
Gd2 0.0000 0.0000 0.8006
Y1 0.5000 0.5000 0.5000
Pd1 0.5000 0.5000 0.0000

## Properties
E ... -10.334 eV/atom
M_tot ... 14.67 μB per formula unit
Fermi-level density of states ... 1.467 states/eV/atom
Distance to the lowest polymorph of the same formula ... 0.0 kJ/mol of atoms



3.
Material: KNp2Cl6
Method: DFT, GGA-PBE
State: optimized geometry

abc: 7.2123 7.2123 6.8759
angles: 90.00 90.00 120.00
Element x y z (fractional)
K1 0.0000 0.0000 0.0000
Np1 0.3333 0.6667 0.5000
Np2 0.6667 0.3333 0.5000
Cl1 0.0000 0.3627 0.7262
Cl2 0.0000 0.6373 0.2738
Cl3 0.3627 0.0000 0.7262
Cl4 0.3627 0.3627 0.2738
Cl5 0.6373 0.0000 0.2738
Cl6 0.6373 0.6373 0.7262

## Properties
E ... -5.926 eV/atom
M_tot ... 9.00 μB per formula unit
Fermi-level density of states ... 2.407 states/eV/atom



4.
Material: YTm4Sc
Method: DFT, GGA-PBE
State: optimized geometry

abc: 5.4908 9.3468 9.3468
angles: 21.83 90.00 90.00
Element x y z (fractional)
Y1 0.0000 0.0000 0.0000
Tm1 0.0000 0.3302 0.3302
Tm2 0.0000 0.6684 0.6684
Tm3 0.5000 0.5578 0.5578
Tm4 0.5000 0.8852 0.8852
Sc1 0.5000 0.2220 0.2220

## Properties
E ... -5.102 eV/atom
M_tot ... 0.00 μB per formula unit
Fermi-level density of states ... 1.766 states/eV/atom
Distance to the lowest polymorph of the same formula ... 0.0 kJ/mol of atoms